# Rb4NaF2

Crystalline Rb4NaF2 at its relaxed geometry (GGA-PBE, Alexandria). Values from VASP.

Quantum ESPRESSO input file:
```
&SYSTEM
  ibrav = 0, nat = 7, ntyp = 3
/
ATOMIC_SPECIES
Rb 85.47 Rb.upf
Na 22.99 Na.upf
F 19.00 F.upf
CELL_PARAMETERS angstrom
-3.3260 3.3260 8.4683
3.3260 -3.3260 8.4683
3.3260 3.3260 -8.4683
ATOMIC_POSITIONS angstrom
Rb 3.3260 0.0000 0.0000
Rb 0.0000 0.0000 3.9976
Rb 0.0000 3.3260 0.0000
Rb 0.0000 0.0000 12.9389
Na 0.0000 0.0000 8.4683
F 0.0000 0.0000 1.5537
F 0.0000 0.0000 15.3829
```

Output
- E_tot (eV/atom) = -2.364
- E_form (uncorrected) (eV per atom) = -1.09


# Rb3Na2F6

Crystalline Rb3Na2F6 at its relaxed geometry (GGA-PBE, Alexandria). Values from VASP.

Quantum ESPRESSO input file:
```
&SYSTEM
  ibrav = 0, nat = 11, ntyp = 3
/
ATOMIC_SPECIES
Rb 85.47 Rb.upf
Na 22.99 Na.upf
F 19.00 F.upf
CELL_PARAMETERS angstrom
-2.1982 2.1982 11.3771
2.1982 -2.1982 11.3771
2.1982 2.1982 -11.3771
ATOMIC_POSITIONS angstrom
Rb 0.0000 0.0000 0.0000
Rb 0.0000 0.0000 4.0802
Rb 0.0000 0.0000 18.6740
Na 0.0000 0.0000 9.0756
Na 0.0000 0.0000 13.6786
F 2.1982 0.0000 1.8991
F 0.0000 0.0000 6.8419
F 2.1982 0.0000 9.4780
F 0.0000 2.1982 1.8991
F 0.0000 0.0000 15.9123
F 0.0000 2.1982 9.4780
```

Output
- E_tot (eV/atom) = -3.964
- E_form (uncorrected) (eV per atom) = -2.44


# Rb3NaF

Crystalline Rb3NaF at its relaxed geometry (GGA-PBE, Alexandria). Values from VASP.

Quantum ESPRESSO input file:
```
&SYSTEM
  ibrav = 0, nat = 5, ntyp = 3
/
ATOMIC_SPECIES
Rb 85.47 Rb.upf
Na 22.99 Na.upf
F 19.00 F.upf
CELL_PARAMETERS angstrom
6.0967 0.0000 0.0000
0.0000 6.0967 0.0000
0.0000 0.0000 6.0967
ATOMIC_POSITIONS angstrom
Rb 0.0000 0.0000 3.0483
Rb 0.0000 3.0483 0.0000
Rb 3.0483 0.0000 0.0000
Na 3.0483 3.0483 3.0483
F 0.0000 0.0000 0.0000
```

Output
- E_tot (eV/atom) = -2.206
- distance to the lowest polymorph of the same formula (meV per atom) = 0
- E_form (uncorrected) (eV per atom) = -0.99


- What is the formula in the first record?
  Rb4NaF2